Record 1
The following is a PBE calculation of a geometry-optimized K3AsS structure, from Alexandria.

Properties
total energy	-3.09	eV per atom
crystal system	monoclinic
formation energy without anion corrections	-676	meV/atom

Structure (extended XYZ):
```
10
Lattice="4.439 0.000 0.000 -2.219 8.129 -0.545 0.000 -0.656 9.800" Properties=species:S:1:pos:R:3 pbc="T T T"
As 2.146 4.795 6.940
As -0.073 3.654 6.362
S -0.073 6.788 2.377
S 2.146 2.319 1.126
K -0.073 1.340 3.303
K 2.146 1.660 7.973
K 2.147 4.716 3.237
K 2.147 7.766 0.200
K -0.074 4.390 0.265
K -0.074 6.789 5.329
```

Record 2
The following is a PBE calculation of a geometry-optimized RbCdBi3 structure, from Alexandria.

Properties
total energy	-1.51	eV per atom
crystal system	cubic
calculated formation energy	1.199	eV/atom

Structure (extended XYZ):
```
5
Lattice="6.207 0.000 0.000 0.000 6.207 0.000 0.000 0.000 6.207" Properties=species:S:1:pos:R:3 pbc="T T T"
Rb 0.000 0.000 0.000
Bi 0.000 0.000 3.104
Bi 3.104 0.000 0.000
Bi 0.000 3.104 0.000
Cd 3.104 3.104 3.104
```

Record 3
The following is a PBE calculation of a geometry-optimized YRhNF2 structure, from Alexandria.

Properties
total energy	-6.22	eV per atom
crystal system	tetragonal
formation energy without anion corrections	-1040	meV/atom

Structure (extended XYZ):
```
5
Lattice="4.247 0.000 0.000 0.000 4.247 0.000 0.000 0.000 4.748" Properties=species:S:1:pos:R:3 pbc="T T T"
Rh 2.123 2.123 2.374
F 0.000 2.123 0.000
F 2.123 0.000 0.000
Y 0.000 0.000 0.000
N 0.000 0.000 2.374
```

Record 4
The following is a PBE calculation of a geometry-optimized Pr2Np2Rh15 structure, from Alexandria.

Properties
total energy	-7.97	eV per atom
crystal system	trigonal
calculated formation energy	-0.299	eV/atom

Structure (extended XYZ):
```
19
Lattice="6.930 0.019 0.017 0.917 6.869 0.017 0.917 0.805 6.821" Properties=species:S:1:pos:R:3 pbc="T T T"
Rh 0.917 2.689 4.707
Rh 0.459 3.434 0.008
Rh 5.062 2.147 0.017
Rh 3.465 0.009 0.008
Rh 2.785 4.741 0.017
Rh 3.446 3.024 5.777
Rh 5.319 4.668 1.077
Rh 5.062 0.263 2.131
Rh 2.785 0.561 4.707
Rh 5.319 1.606 4.514
Rh 6.482 2.627 2.341
Rh 0.917 4.985 2.131
Rh 2.283 5.065 4.514
Rh 3.446 6.086 2.341
Rh 0.459 0.403 3.411
Np 0.750 0.659 0.587
Np 8.014 7.034 6.268
Pr 3.091 2.713 2.417
Pr 5.674 4.980 4.437
```